The following is a DFT calculation (PBE-GGA) of LaYP2Cl after structural relaxation.

## Properties
Distance to the lowest polymorph of the same formula   0 meV per atom
Magnetization   0.0 μB/f.u.

```
data_LaYP2Cl
_cell_length_a 5.266
_cell_length_b 5.266
_cell_length_c 5.038
_cell_angle_alpha 90.00
_cell_angle_beta 90.00
_cell_angle_gamma 90.00
_space_group_name_H-M_alt 'P 4/m m m'
_space_group_IT_number 123
_space_group_name_Hall '-P 4 2'
loop_
_atom_site_label
_atom_site_type_symbol
_atom_site_fract_x
_atom_site_fract_y
_atom_site_fract_z
La1 La 0.000 0.000 0.000
Y1 Y 0.500 0.500 0.500
P1 P 0.000 0.500 0.500
Cl1 Cl 0.500 0.500 0.000
```